{"formula": "LiMnTlF4", "functional": "GGA+U", "state": "relaxed", "magmom_total_mub_per_fu": 5.00, "n_ef_per_ev_atom": 0.0000, "final_energy_ev_per_atom": -5.15, "cell": [[5.284, 0.000, -0.618], [0.000, 5.675, 0.000], [-2.811, 0.000, 7.961]], "species": ["Mn", "Mn", "Tl", "Tl", "F", "F", "F", "F", "F", "F", "F", "F", "Li", "Li"], "frac_coords": [[0.806, 0.250, 0.690], [0.194, 0.750, 0.310], [0.533, 0.750, 0.872], [0.467, 0.250, 0.128], [0.917, 0.990, 0.328], [0.731, 0.250, 0.900], [0.083, 0.010, 0.672], [0.269, 0.750, 0.100], [0.083, 0.490, 0.672], [0.454, 0.250, 0.457], [0.546, 0.750, 0.543], [0.917, 0.510, 0.328], [0.120, 0.250, 0.485], [0.880, 0.750, 0.515]]}